Model i:
Entry from Alexandria: crystalline Ti4P2H at its relaxed geometry (PBE).

Calculated values
Space-group type ... No. 12

Structure (POSCAR):
```
Ti4P2H
1.0
5.966 -1.649 0.000
5.966 1.649 0.000
-2.728 0.000 5.086
Ti P H
4 2 1
Cartesian
0.085 0.000 2.202
4.521 0.000 0.235
4.683 0.000 4.851
9.119 0.000 2.884
2.363 0.000 1.314
6.841 0.000 3.772
0.000 0.000 0.000
```



Model ii:
Entry from Alexandria: crystalline Ti4P2H at its relaxed geometry (PBE).

Calculated values
Space-group type ... No. 139

Structure (POSCAR):
```
Ti4P2H
1.0
-1.837 1.837 6.739
1.837 -1.837 6.739
1.837 1.837 -6.739
Ti P H
4 2 1
Cartesian
1.837 0.000 0.000
0.000 0.000 2.380
0.000 1.837 0.000
0.000 0.000 11.098
0.000 0.000 4.886
0.000 0.000 8.591
0.000 0.000 0.000
```



model ii is favored, and the nearest alternative lies 24.9 kJ/mol of atoms above it.